Entry from the Alexandria database: HfSbN2Cl after structural relaxation (PBE-GGA).

Calculated values
V in Å³/cell: 94.2
E in eV for the cell shown: -26.8
Formation energy from raw total energies in kJ/mol of atoms: 112
Space group: No. 123

Structure (POSCAR):
```
HfSbN2Cl
1.0
4.0235 0.0000 0.0000
0.0000 4.0235 0.0000
0.0000 0.0000 5.8173
Hf Sb N Cl
1 1 2 1
Direct
0.0000 0.0000 0.0000
0.0000 0.0000 0.5000
0.0000 0.5000 0.5000
0.5000 0.0000 0.5000
0.5000 0.5000 0.0000
```

=====

Entry from the Alexandria database: TbAs2Pt7Pb2 after structural relaxation (PBE-GGA).

Calculated values
V in Å³/cell: 251.7
Energy relative to the elements in eV/atom: -0.557
E in eV for the cell shown: -70.3
Space group: No. 12

Structure (POSCAR):
```
TbAs2Pt7Pb2
1.0
2.8388 -2.8387 0.0000
2.8388 2.8387 0.0000
-2.8201 0.0000 15.6176
Tb As Pt Pb
1 2 7 2
Direct
0.0000 0.0000 0.0000
0.3838 0.3838 0.7661
0.6162 0.6162 0.2339
0.0687 0.5684 0.1390
0.3040 0.3040 0.6101
0.4316 0.9313 0.8610
0.5000 0.5000 0.0000
0.5684 0.0687 0.1390
0.6960 0.6960 0.3899
0.9313 0.4316 0.8610
0.2123 0.2123 0.4242
0.7877 0.7877 0.5758
```

=====

Entry from the Alexandria database: MgAgP after structural relaxation (PBE-GGA).

Calculated values
V in Å³/cell: 224.2
Energy relative to the elements in eV/atom: -0.206
E in eV for the cell shown: -41.9
Space group: No. 62

Structure (POSCAR):
```
MgAgP
1.0
6.8651 0.0000 0.0000
0.0000 4.1481 0.0000
0.0000 0.0000 7.8748
Mg Ag P
4 4 4
Direct
0.1515 0.2500 0.0767
0.3485 0.7500 0.5767
0.6515 0.2500 0.4233
0.8485 0.7500 0.9233
0.0140 0.2500 0.6361
0.4860 0.7500 0.1361
0.5140 0.2500 0.8639
0.9860 0.7500 0.3639
0.2279 0.7500 0.8841
0.2721 0.2500 0.3841
0.7279 0.7500 0.6159
0.7721 0.2500 0.1159
```

=====

Entry from the Alexandria database: PaS2O8F after structural relaxation (PBE-GGA).

Calculated values
V in Å³/cell: 150.4
E in eV for the cell shown: -83.5
Formation energy from raw total energies in kJ/mol of atoms: -195
Space group: No. 164

Structure (POSCAR):
```
PaS2O8F
1.0
6.0597 0.0000 0.0000
-3.0299 5.2479 0.0000
0.0000 0.0000 4.7307
Pa S O F
1 2 8 1
Direct
0.0000 0.0000 0.0000
0.3333 0.6667 0.2870
0.6667 0.3333 0.7130
0.2009 0.4018 0.1690
0.2009 0.7991 0.1690
0.3333 0.6667 0.5900
0.4018 0.2009 0.8310
0.5982 0.7991 0.1690
0.6667 0.3333 0.4100
0.7991 0.2009 0.8310
0.7991 0.5982 0.8310
0.0000 0.0000 0.5000
```

=====

Entry from the Alexandria database: PmTlAs2Pd5 after structural relaxation (PBE-GGA).

Calculated values
V in Å³/cell: 165.0
Energy relative to the elements in eV/atom: -0.593
E in eV for the cell shown: -47.7
Space group: No. 123

Structure (POSCAR):
```
PmTlAs2Pd5
1.0
4.3261 0.0000 0.0000
0.0000 4.3261 0.0000
0.0000 0.0000 8.8146
Pm Tl As Pd
1 1 2 5
Direct
0.0000 0.0000 0.0000
0.0000 0.0000 0.5000
0.5000 0.5000 0.1431
0.5000 0.5000 0.8569
0.0000 0.5000 0.2804
0.0000 0.5000 0.7196
0.5000 0.0000 0.2804
0.5000 0.0000 0.7196
0.5000 0.5000 0.5000
```

=====

Entry from the Alexandria database: Cs3Pm2TmO6 after structural relaxation (PBE-GGA).

Calculated values
V in Å³/cell: 235.1
E in eV for the cell shown: -77.2
Formation energy from raw total energies in kJ/mol of atoms: -248
Space group: No. 12

Structure (POSCAR):
```
Cs3Pm2TmO6
1.0
3.1326 -5.4261 0.0000
3.1326 5.4261 0.0000
-2.0857 0.0000 6.9144
Cs Pm Tm O
3 2 1 6
Direct
0.0000 0.0000 0.0000
0.3341 0.6659 0.0000
0.6659 0.3341 0.0000
0.1667 0.8333 0.5000
0.8333 0.1667 0.5000
0.5000 0.5000 0.5000
0.1233 0.4446 0.3341
0.2341 0.2341 0.6666
0.4446 0.1233 0.3341
0.5554 0.8767 0.6659
0.7659 0.7659 0.3334
0.8767 0.5554 0.6659
```

=====

Question: What is the formula in the fourth record?
Answer: PaS2O8F

=====

Question: Among the records above, which one has the lowest E?
Answer: PaS2O8F

=====

Repeat the second record exactly.
Entry from the Alexandria database: TbAs2Pt7Pb2 after structural relaxation (PBE-GGA).

Calculated values
V in Å³/cell: 251.7
Energy relative to the elements in eV/atom: -0.557
E in eV for the cell shown: -70.3
Space group: No. 12

Structure (POSCAR):
```
TbAs2Pt7Pb2
1.0
2.8388 -2.8387 0.0000
2.8388 2.8387 0.0000
-2.8201 0.0000 15.6176
Tb As Pt Pb
1 2 7 2
Direct
0.0000 0.0000 0.0000
0.3838 0.3838 0.7661
0.6162 0.6162 0.2339
0.0687 0.5684 0.1390
0.3040 0.3040 0.6101
0.4316 0.9313 0.8610
0.5000 0.5000 0.0000
0.5684 0.0687 0.1390
0.6960 0.6960 0.3899
0.9313 0.4316 0.8610
0.2123 0.2123 0.4242
0.7877 0.7877 0.5758
```